Arrangement a

## HoNbSn2 (PBE)

Data for HoNbSn2 after structural relaxation.

abc: 11.3704 11.3704 11.3704
angles: 16.22 16.22 16.22
Sites, in units of the cell vectors:
Ho  0.0000  0.0000  0.0000
Nb  0.5000  0.5000  0.5000
Sn  0.4151  0.4151  0.4151
Sn  0.5849  0.5849  0.5849

Summary:
* N(E_F): 3.5 states/eV/f.u.
* theoretical density: 8225 kg/m³
* total magnetization: 0.00 Bohr magnetons per cell

Arrangement b

## HoNbSn2 (PBE)

Data for HoNbSn2 after structural relaxation.

abc: 3.7423 3.7423 6.6119
angles: 90.00 90.00 90.00
Sites, in units of the cell vectors:
Ho  0.0000  0.0000  0.0000
Nb  0.0000  0.0000  0.5000
Sn  0.5000  0.5000  0.2791
Sn  0.5000  0.5000  0.7209

Summary:
* N(E_F): 4.8 states/eV/f.u.
* theoretical density: 8882 kg/m³
* total magnetization: 0.00 Bohr magnetons per cell

Least stable structure: arrangement a

Arrangement a

## Ho2NbZn (PBE)

Data for Ho2NbZn after structural relaxation.

abc: 3.3124 3.3124 8.3660
angles: 90.00 90.00 90.00
Sites, in units of the cell vectors:
Ho  0.0000  0.0000  0.2401
Ho  0.0000  0.0000  0.7599
Nb  0.5000  0.5000  0.5000
Zn  0.5000  0.5000  0.0000

Summary:
* N(E_F): 4.3 states/eV/f.u.
* theoretical density: 8831 kg/m³
* total magnetization: 0.00 Bohr magnetons per cell

Arrangement b

## Ho2NbZn (PBE)

Data for Ho2NbZn after structural relaxation.

abc: 11.0241 11.0241 11.0241
angles: 16.57 16.57 16.57
Sites, in units of the cell vectors:
Ho  0.0917  0.0917  0.0917
Ho  0.9083  0.9083  0.9083
Nb  0.0000  0.0000  0.0000
Zn  0.5000  0.5000  0.5000

Summary:
* N(E_F): 6.0 states/eV/f.u.
* theoretical density: 8529 kg/m³
* total magnetization: 0.73 Bohr magnetons per cell

Least stable structure: arrangement b

Arrangement a

## Nd5Ho3 (PBE)

Data for Nd5Ho3 after structural relaxation.

abc: 3.6316 3.6316 20.4281
angles: 90.00 90.00 90.00
Sites, in units of the cell vectors:
Nd  0.0000  0.0000  0.0000
Nd  0.0000  0.0000  0.2476
Nd  0.0000  0.0000  0.7524
Nd  0.5000  0.5000  0.3761
Nd  0.5000  0.5000  0.6239
Ho  0.0000  0.0000  0.5000
Ho  0.5000  0.5000  0.1232
Ho  0.5000  0.5000  0.8768

Summary:
* N(E_F): 12.0 states/eV/f.u.
* theoretical density: 7495 kg/m³
* total magnetization: 0.00 Bohr magnetons per cell

Arrangement b

## Nd5Ho3 (PBE)

Data for Nd5Ho3 after structural relaxation.

abc: 7.3382 8.6192 8.6192
angles: 85.09 90.00 90.00
Sites, in units of the cell vectors:
Nd  0.0000  0.0000  0.0000
Nd  0.0000  0.0871  0.5778
Nd  0.0000  0.5778  0.0871
Nd  0.2513  0.3306  0.8327
Nd  0.2513  0.8327  0.3306
Nd  0.2524  0.7494  0.7494
Nd  0.5000  0.4957  0.4957
Nd  0.7476  0.7494  0.7494
Nd  0.7487  0.3306  0.8327
Nd  0.7487  0.8327  0.3306
Ho  0.0000  0.4976  0.4976
Ho  0.2519  0.2485  0.2485
Ho  0.5000  0.0002  0.0002
Ho  0.5000  0.0843  0.5808
Ho  0.5000  0.5808  0.0843
Ho  0.7481  0.2485  0.2485

Summary:
* N(E_F): 13.8 states/eV/f.u.
* theoretical density: 7435 kg/m³
* total magnetization: 0.00 Bohr magnetons per cell

Least stable structure: arrangement b